# PBE with a Hubbard U La2ZnFeO, relaxed
# Fermi-level density of states = 2.2 states/eV per cell
# total energy = -4.10 eV/atom
data_La2ZnFeO
_space_group_name_H-M_alt 'P 4/m m m'
_space_group_IT_number 123
_space_group_name_Hall '-P 4 2'
_cell_length_a 5.004
_cell_length_b 5.004
_cell_length_c 4.446
_cell_angle_alpha 90.00
_cell_angle_beta 90.00
_cell_angle_gamma 90.00
loop_
_atom_site_label
_atom_site_type_symbol
_atom_site_fract_x
_atom_site_fract_y
_atom_site_fract_z
_atom_site_occupancy
La1 La 0.000 0.500 0.000 1
Zn1 Zn 0.000 0.000 0.500 1
Fe1 Fe 0.000 0.000 0.000 1
O1 O 0.500 0.500 0.500 1